No. 1
The following is a DFT calculation (GGA-PBE) of a relaxed structure of KTl2ZnIr.

Computed properties:
* energy: -14.37 eV/f.u.
* DFT formation energy: 0.319 eV per atom
* density of states at the Fermi level: 2.1 states/eV/cell
* size of the total moment: 0.0 μB per formula unit

a b c (Å): 5.2971 6.1682 5.2971
angles (deg): 90.00 90.00 90.00
Positions (direct):
K: 0.0000 0.5000 0.0000
Tl: 0.0000 0.0000 0.5000
Tl: 0.5000 0.0000 0.0000
Ir: 0.0000 0.0000 0.0000
Zn: 0.5000 0.5000 0.5000

***

No. 2
The following is a DFT calculation (GGA-PBE) of a relaxed structure of KTlZn2Ir.

Computed properties:
* energy: -15.33 eV/f.u.
* DFT formation energy: -0.091 eV per atom
* density of states at the Fermi level: 1.4 states/eV/cell
* size of the total moment: 0.0 μB per formula unit

a b c (Å): 4.9830 4.9830 5.2451
angles (deg): 90.00 90.00 90.00
Positions (direct):
K: 0.5000 0.5000 0.5000
Tl: 0.0000 0.0000 0.5000
Ir: 0.0000 0.0000 0.0000
Zn: 0.0000 0.5000 0.0000
Zn: 0.5000 0.0000 0.0000

***

No. 3
The following is a DFT calculation (GGA-PBE) of a relaxed structure of KTlZn2Ir.

Computed properties:
* energy: -10.86 eV/f.u.
* DFT formation energy: 0.803 eV per atom
* density of states at the Fermi level: 5.8 states/eV/cell
* size of the total moment: 0.6 μB per formula unit

a b c (Å): 5.3403 5.2554 5.3403
angles (deg): 90.00 90.00 90.00
Positions (direct):
K: 0.5000 0.5000 0.5000
Tl: 0.0000 0.0000 0.0000
Ir: 0.0000 0.5000 0.0000
Zn: 0.0000 0.0000 0.5000
Zn: 0.5000 0.0000 0.0000